The following is a DFT calculation (GGA-PBE) of a relaxed structure of TlAg2Se.

a b c (Å): 4.3516 4.3516 6.2660
angles (deg): 67.69 67.69 63.02
Closest atoms and distances in Å follow each position.
Fractional positions:
1 Ag 0.0196 0.0196 0.9477  3 Se 2.78, 3 Tl 3.06-3.07
2 Ag 0.4804 0.4804 0.5523  3 Se 2.78, 3 Tl 3.06-3.07
3 Se 0.7500 0.7500 0.7500  6 Ag 2.78
4 Tl 0.2500 0.2500 0.2500  6 Ag 3.06-3.07

The total magnetization is 0.000 μB per atom. The uncorrected energy is -2.88 eV per atom. For the uncorrected formation energy, the calculation gives 0.013 eV per atom.